# 1
TbPr8Cd2 | PBE | relaxed

For the volume, the calculation gives 37.45 Å³ per atom. The value obtained for the total energy is -83.74 eV for the cell shown. For the relative energy among the computed polymorphs, the calculation gives 3.63 eV/f.u. As for the total magnetization: 0.00 μB/f.u.

Geometry as CIF:
```
data_TbPr8Cd2
_chemical_formula_sum 'Tb2 Pr16 Cd4'
_symmetry_space_group_name_H-M 'C 1 2/m 1'
_symmetry_Int_Tables_number 12
_cell_length_a 14.0998
_cell_length_b 11.2003
_cell_length_c 5.3106
_cell_angle_alpha 90.00
_cell_angle_beta 100.76
_cell_angle_gamma 90.00
loop_
_symmetry_equiv_pos_as_xyz
'x,y,z'
'-x,-y,-z'
'-x,y,-z'
'x,-y,z'
'x+1/2,y+1/2,z'
'-x+1/2,-y+1/2,-z'
'-x+1/2,y+1/2,-z'
'x+1/2,-y+1/2,z'
loop_
_atom_site_label
_atom_site_fract_x
_atom_site_fract_y
_atom_site_fract_z
Tb1 0.0000 0.0000 0.0000
Pr1 0.0850 0.5000 0.2918
Pr2 0.1049 0.2614 0.7815
Pr3 0.2402 0.0000 0.1265
Cd1 0.1168 0.0000 0.5486
```


# 2
BeAgPt2 | PBE | relaxed

For the volume, the calculation gives 14.47 Å³ per atom. The value obtained for the total energy is -57.91 eV for the cell shown. As for the total magnetization: 0.00 μB/f.u.

Geometry as CIF:
```
data_BeAgPt2
_chemical_formula_sum 'Be3 Ag3 Pt6'
_symmetry_space_group_name_H-M 'R 3 m'
_symmetry_Int_Tables_number 160
_symmetry_space_group_name_Hall 'R 3 -2"'
_cell_length_a 2.8042
_cell_length_b 2.8042
_cell_length_c 25.4913
_cell_angle_alpha 90.00
_cell_angle_beta 90.00
_cell_angle_gamma 120.00
loop_
_atom_site_label
_atom_site_fract_x
_atom_site_fract_y
_atom_site_fract_z
Be1 0.0000 0.0000 0.0000
Ag1 0.0000 0.0000 0.7459
Pt1 0.0000 0.0000 0.2685
Pt2 0.0000 0.0000 0.5065
```